Record 1
Below is a geometry-optimized SmPu2ZrS4 structure, with properties calculated at the PBE level.

Summary:
Total energy: -72.50 eV per formula unit
Formation energy without anion corrections: -1.757 eV per atom
D(E_F): 15.05 states/eV/f.u.

a b c (Å): 6.737 3.885 6.764
angles (deg): 90.00 109.28 90.00
Fractional positions:
Sm 0.000 0.000 0.000
Pu 0.000 0.500 0.500
Pu 0.500 0.000 0.500
Zr 0.500 0.500 0.000
S 0.259 0.500 0.250
S 0.262 0.000 0.757
S 0.738 0.000 0.243
S 0.741 0.500 0.750

Record 2
Below is a geometry-optimized PuSn3S6 structure, with properties calculated at the PBE level.

Summary:
Total energy: -57.53 eV per formula unit
Formation energy without anion corrections: -0.642 eV per atom
D(E_F): 11.44 states/eV/f.u.

a b c (Å): 11.261 3.885 11.527
angles (deg): 90.00 107.29 90.00
Fractional positions:
Pu 0.054 0.250 0.176
Pu 0.946 0.750 0.824
Sn 0.147 0.250 0.593
Sn 0.326 0.750 0.020
Sn 0.467 0.250 0.338
Sn 0.533 0.750 0.662
Sn 0.674 0.250 0.980
Sn 0.853 0.750 0.407
S 0.082 0.750 0.410
S 0.101 0.250 0.952
S 0.172 0.750 0.742
S 0.237 0.750 0.215
S 0.365 0.250 0.571
S 0.488 0.250 0.120
S 0.512 0.750 0.880
S 0.635 0.750 0.429
S 0.763 0.250 0.785
S 0.828 0.250 0.258
S 0.899 0.750 0.048
S 0.918 0.250 0.590

Record 3
Below is a geometry-optimized PuSnS structure, with properties calculated at the PBE level.

Summary:
Total energy: -23.65 eV per formula unit
Formation energy without anion corrections: -0.395 eV per atom
D(E_F): 3.53 states/eV/f.u.

a b c (Å): 7.808 7.808 3.343
angles (deg): 90.00 90.00 137.73
Fractional positions:
Pu 0.057 0.943 0.750
Pu 0.943 0.057 0.250
Sn 0.406 0.594 0.750
Sn 0.594 0.406 0.250
S 0.192 0.808 0.250
S 0.808 0.192 0.750

Record 4
Below is a geometry-optimized PuSn2S6 structure, with properties calculated at the PBE level.

Summary:
Total energy: -51.84 eV per formula unit
Formation energy without anion corrections: -0.527 eV per atom
D(E_F): 4.77 states/eV/f.u.

a b c (Å): 6.454 6.454 9.061
angles (deg): 106.79 106.79 39.78
Fractional positions:
Pu 0.000 0.000 0.000
Sn 0.212 0.212 0.659
Sn 0.788 0.788 0.341
S 0.027 0.027 0.732
S 0.351 0.351 0.921
S 0.352 0.352 0.484
S 0.648 0.648 0.516
S 0.649 0.649 0.079
S 0.973 0.973 0.268

Record 5
Below is a geometry-optimized Pu2Sn2S7 structure, with properties calculated at the PBE level.

Summary:
Total energy: -74.47 eV per formula unit
Formation energy without anion corrections: -0.809 eV per atom
D(E_F): 20.52 states/eV/f.u.

a b c (Å): 8.319 8.319 8.319
angles (deg): 152.71 71.43 115.45
Fractional positions:
Pu 0.237 0.000 0.237
Pu 0.763 0.000 0.763
Sn 0.238 0.738 0.500
Sn 0.727 0.727 0.000
S 0.014 0.703 0.311
S 0.044 0.044 0.000
S 0.361 0.482 0.879
S 0.393 0.703 0.689
S 0.603 0.482 0.121
S 0.647 0.288 0.360
S 0.928 0.288 0.640

Record 6
Below is a geometry-optimized Pu2SnS4 structure, with properties calculated at the PBE level.

Summary:
Total energy: -57.76 eV per formula unit
Formation energy without anion corrections: -1.226 eV per atom
D(E_F): 18.03 states/eV/f.u.

a b c (Å): 7.095 11.678 4.029
angles (deg): 90.00 90.00 90.00
Fractional positions:
Pu 0.074 0.176 0.000
Pu 0.426 0.676 0.000
Pu 0.574 0.324 0.000
Pu 0.926 0.824 0.000
Sn 0.000 0.500 0.500
Sn 0.500 0.000 0.500
S 0.153 0.720 0.500
S 0.235 0.962 0.000
S 0.265 0.462 0.000
S 0.347 0.220 0.500
S 0.653 0.780 0.500
S 0.735 0.538 0.000
S 0.765 0.038 0.000
S 0.847 0.280 0.500

Record 7
Below is a geometry-optimized Pu3SnS6 structure, with properties calculated at the PBE level.

Summary:
Total energy: -84.66 eV per formula unit
Formation energy without anion corrections: -1.289 eV per atom
D(E_F): 25.94 states/eV/f.u.

a b c (Å): 8.531 8.531 6.863
angles (deg): 90.00 90.00 102.89
Fractional positions:
Pu 0.101 0.899 0.500
Pu 0.212 0.417 0.419
Pu 0.417 0.212 0.919
Pu 0.583 0.788 0.419
Pu 0.788 0.583 0.919
Pu 0.899 0.101 0.000
Sn 0.324 0.676 0.894
Sn 0.676 0.324 0.394
S 0.061 0.596 0.690
S 0.136 0.190 0.712
S 0.190 0.136 0.212
S 0.273 0.727 0.281
S 0.404 0.939 0.690
S 0.488 0.512 0.654
S 0.512 0.488 0.154
S 0.596 0.061 0.190
S 0.727 0.273 0.781
S 0.810 0.864 0.712
S 0.864 0.810 0.212
S 0.939 0.404 0.190

Record 8
Below is a geometry-optimized PuSnS structure, with properties calculated at the PBE level.

Summary:
Total energy: -24.77 eV per formula unit
Formation energy without anion corrections: -0.768 eV per atom
D(E_F): 7.97 states/eV/f.u.

a b c (Å): 6.261 6.261 6.261
angles (deg): 145.01 145.01 50.32
Fractional positions:
Pu 0.000 0.000 0.000
Sn 0.300 0.300 0.000
S 0.546 0.546 0.000

Record 9
Below is a geometry-optimized Pu2SnS6 structure, with properties calculated at the PBE level.

Summary:
Total energy: -65.69 eV per formula unit
Formation energy without anion corrections: -0.918 eV per atom
D(E_F): 14.75 states/eV/f.u.

a b c (Å): 6.167 6.167 12.183
angles (deg): 90.00 90.00 90.00
Fractional positions:
Pu 0.000 0.000 0.167
Pu 0.000 0.000 0.833
Pu 0.500 0.500 0.333
Pu 0.500 0.500 0.667
Sn 0.000 0.000 0.500
Sn 0.500 0.500 0.000
S 0.193 0.193 0.337
S 0.193 0.193 0.663
S 0.195 0.195 0.000
S 0.305 0.695 0.500
S 0.307 0.693 0.163
S 0.307 0.693 0.837
S 0.693 0.307 0.163
S 0.693 0.307 0.837
S 0.695 0.305 0.500
S 0.805 0.805 0.000
S 0.807 0.807 0.337
S 0.807 0.807 0.663

Record 10
Below is a geometry-optimized PuSnS2 structure, with properties calculated at the PBE level.

Summary:
Total energy: -30.27 eV per formula unit
Formation energy without anion corrections: -0.921 eV per atom
D(E_F): 8.49 states/eV/f.u.

a b c (Å): 7.638 7.638 7.638
angles (deg): 29.74 29.74 29.74
Fractional positions:
Pu 0.000 0.000 0.000
Sn 0.166 0.166 0.166
S 0.591 0.591 0.591
S 0.748 0.748 0.748

Record 11
Below is a geometry-optimized PuSn2S4 structure, with properties calculated at the PBE level.

Summary:
Total energy: -44.32 eV per formula unit
Formation energy without anion corrections: -0.782 eV per atom
D(E_F): 12.40 states/eV/f.u.

a b c (Å): 7.031 7.031 13.051
angles (deg): 90.00 90.00 148.27
Fractional positions:
Pu 0.118 0.882 0.750
Pu 0.882 0.118 0.250
Sn 0.369 0.631 0.567
Sn 0.369 0.631 0.933
Sn 0.631 0.369 0.067
Sn 0.631 0.369 0.433
S 0.000 0.000 0.000
S 0.000 0.000 0.500
S 0.286 0.714 0.125
S 0.286 0.714 0.375
S 0.476 0.524 0.750
S 0.524 0.476 0.250
S 0.714 0.286 0.625
S 0.714 0.286 0.875

Record 12
Below is a geometry-optimized PuTl2SnS5 structure, with properties calculated at the PBE level.

Summary:
Total energy: -49.84 eV per formula unit
Formation energy without anion corrections: -0.682 eV per atom
D(E_F): 10.05 states/eV/f.u.

a b c (Å): 9.002 9.002 14.848
angles (deg): 90.00 90.00 154.28
Fractional positions:
Pu 0.237 0.763 0.500
Pu 0.763 0.237 0.000
Tl 0.125 0.875 0.227
Tl 0.132 0.868 0.752
Tl 0.868 0.132 0.252
Tl 0.875 0.125 0.727
Sn 0.498 0.502 0.966
Sn 0.502 0.498 0.466
S 0.075 0.925 0.526
S 0.268 0.732 0.884
S 0.279 0.721 0.115
S 0.387 0.613 0.554
S 0.495 0.505 0.308
S 0.505 0.495 0.808
S 0.613 0.387 0.054
S 0.721 0.279 0.615
S 0.732 0.268 0.384
S 0.925 0.075 0.026